Er6Ge2PtSe3: optimized geometry, GGA-PBE. Values from VASP.

```
&SYSTEM
  ibrav = 0, nat = 12, ntyp = 4
/
ATOMIC_SPECIES
Er 167.26 Er.upf
Se 78.96 Se.upf
Ge 72.64 Ge.upf
Pt 195.08 Pt.upf
CELL_PARAMETERS angstrom
-3.4819 1.9591 -0.7550
-2.0555 -0.5826 7.9685
6.2578 6.7617 -0.3657
ATOMIC_POSITIONS angstrom
Er -0.4442 3.4648 0.0909
Se 0.9051 6.0104 0.4739
Er 1.2025 8.2585 4.9362
Ge -0.0918 5.7745 4.4594
Pt -1.7410 0.9796 -0.3775
Ge 0.8122 2.3638 2.3885
Er -1.3875 3.2738 3.9461
Er -0.4821 -0.1202 1.9116
Se -2.7687 0.6883 3.6068
Er 2.1079 4.8645 2.9018
Er 1.1645 4.6735 6.7569
Se -0.1847 2.1279 6.3740
```

N(E_F) = 5.44 states/eV per cell
E_form (uncorrected) = -1.379 eV/atom
M_tot = 0.00 μB/f.u.


Sr2ZrNi: optimized geometry, GGA-PBE. Values from VASP.

```
&SYSTEM
  ibrav = 0, nat = 4, ntyp = 3
/
ATOMIC_SPECIES
Sr 87.62 Sr.upf
Zr 91.22 Zr.upf
Ni 58.69 Ni.upf
CELL_PARAMETERS angstrom
6.2056 0.0092 0.0000
2.9290 5.4708 0.0000
-4.5673 -2.7400 3.1845
ATOMIC_POSITIONS angstrom
Sr 0.0000 0.0000 0.0000
Sr 4.5673 2.7400 0.0000
Zr 1.4645 2.7354 1.5923
Ni 3.1028 0.0046 1.5923
```

N(E_F) = 5.50 states/eV per cell
Formation enthalpy at 0 K = 0.695 eV per atom
M_tot = 0.00 μB/f.u.


NdSm6Ho2Mg: optimized geometry, GGA-PBE. Values from VASP.

```
&SYSTEM
  ibrav = 0, nat = 20, ntyp = 4
/
ATOMIC_SPECIES
Nd 144.24 Nd.upf
Sm 150.36 Sm.upf
Ho 164.93 Ho.upf
Mg 24.30 Mg.upf
CELL_PARAMETERS angstrom
8.6121 -1.6670 -1.7300
1.1435 8.7895 -2.1700
1.1435 -2.4943 8.7031
ATOMIC_POSITIONS angstrom
Nd 7.6026 -3.3527 7.0280
Sm 8.7410 -0.4696 2.4479
Sm 9.4079 5.6267 -1.7454
Sm 3.4244 2.0100 6.8828
Nd 3.2966 7.9809 -2.2249
Sm 5.7973 5.7474 -1.6200
Ho 5.4058 0.1927 1.3629
Sm 3.1687 -1.3419 3.4044
Ho 5.4934 4.4355 3.4401
Sm 6.4642 1.3311 4.3166
Sm 2.1581 5.0978 2.3552
Mg 3.2966 2.0328 3.5066
Sm 4.4350 3.2971 0.4865
Sm 7.4748 2.6182 -2.0798
Ho 9.7995 2.4399 3.6950
Sm 7.7305 5.9701 1.3987
Ho 1.0997 2.1883 1.1081
Mg 7.6026 2.5954 1.2964
Sm 1.4913 -0.9984 6.5484
Sm 5.1018 -1.1192 6.4231
```

N(E_F) = 26.90 states/eV per cell
Formation enthalpy at 0 K = 0.118 eV per atom
M_tot = 0.00 μB/f.u.